# 1
DyPaZn after structural relaxation. Source: OQMD, functional PBE-GGA.

Structure (CIF):
```
data_DyPaZn
_chemical_formula_sum 'Dy4 Pa4 Zn4'
_cell_length_a 6.835
_cell_length_b 6.835
_cell_length_c 6.835
_cell_angle_alpha 90.00
_cell_angle_beta 90.00
_cell_angle_gamma 90.00
_space_group_name_H-M_alt 'F -4 3 m'
_space_group_IT_number 216
_space_group_name_Hall 'F -4 2 3'
loop_
_atom_site_label
_atom_site_fract_x
_atom_site_fract_y
_atom_site_fract_z
_atom_site_occupancy
Dy1 0.000 0.000 0.000 1
Pa1 0.000 0.000 0.500 1
Zn1 0.250 0.250 0.250 1
```

Calculated values
- relative energy among the computed polymorphs (meV/atom) = 0.0

# 2
TaPdC2 after structural relaxation. Source: OQMD, functional PBE-GGA.

Structure (CIF):
```
data_TaPdC2
_chemical_formula_sum 'Ta1 Pd1 C2'
_cell_length_a 3.177
_cell_length_b 3.177
_cell_length_c 4.463
_cell_angle_alpha 90.00
_cell_angle_beta 90.00
_cell_angle_gamma 90.00
_space_group_name_H-M_alt 'P 4/m m m'
_space_group_IT_number 123
_space_group_name_Hall '-P 4 2'
loop_
_atom_site_label
_atom_site_fract_x
_atom_site_fract_y
_atom_site_fract_z
_atom_site_occupancy
Ta1 0.000 0.000 0.000 1
Pd1 0.500 0.500 0.500 1
C1 0.000 0.000 0.500 1
C2 0.500 0.500 0.000 1
```

Calculated values
- VASP energy (eV for the cell shown) = -33.76

# 3
LuZrBi after structural relaxation. Source: OQMD, functional PBE-GGA.

Structure (CIF):
```
data_LuZrBi
_chemical_formula_sum 'Lu4 Zr4 Bi4'
_cell_length_a 7.231
_cell_length_b 7.231
_cell_length_c 7.231
_cell_angle_alpha 90.00
_cell_angle_beta 90.00
_cell_angle_gamma 90.00
_space_group_name_H-M_alt 'F -4 3 m'
_space_group_IT_number 216
_space_group_name_Hall 'F -4 2 3'
loop_
_atom_site_label
_atom_site_fract_x
_atom_site_fract_y
_atom_site_fract_z
_atom_site_occupancy
Lu1 0.000 0.000 0.000 1
Zr1 0.250 0.250 0.250 1
Bi1 0.250 0.250 0.750 1
```

Calculated values
- VASP energy (eV for the cell shown) = -62.88

# 4
LiLuAlCu after structural relaxation. Source: OQMD, functional PBE-GGA.

Structure (CIF):
```
data_LiLuAlCu
_chemical_formula_sum 'Li4 Lu4 Al4 Cu4'
_cell_length_a 6.371
_cell_length_b 6.371
_cell_length_c 6.371
_cell_angle_alpha 90.00
_cell_angle_beta 90.00
_cell_angle_gamma 90.00
_space_group_name_H-M_alt 'F -4 3 m'
_space_group_IT_number 216
_space_group_name_Hall 'F -4 2 3'
loop_
_atom_site_label
_atom_site_fract_x
_atom_site_fract_y
_atom_site_fract_z
_atom_site_occupancy
Li1 0.000 0.000 0.000 1
Lu1 0.250 0.250 0.750 1
Al1 0.250 0.250 0.250 1
Cu1 0.000 0.000 0.500 1
```

Calculated values
- relative energy among the computed polymorphs (meV/atom) = 0.0

# 5
ZrInSn after structural relaxation. Source: OQMD, functional PBE-GGA.

Structure (CIF):
```
data_ZrInSn
_chemical_formula_sum 'Zr4 In4 Sn4'
_cell_length_a 6.911
_cell_length_b 6.911
_cell_length_c 6.911
_cell_angle_alpha 90.00
_cell_angle_beta 90.00
_cell_angle_gamma 90.00
_space_group_name_H-M_alt 'F -4 3 m'
_space_group_IT_number 216
_space_group_name_Hall 'F -4 2 3'
loop_
_atom_site_label
_atom_site_fract_x
_atom_site_fract_y
_atom_site_fract_z
_atom_site_occupancy
Zr1 0.000 0.000 0.000 1
In1 0.000 0.000 0.500 1
Sn1 0.250 0.250 0.750 1
```

Calculated values
- VASP energy (eV for the cell shown) = -57.52

# 6
InCu15 after structural relaxation. Source: OQMD, functional PBE-GGA.

Structure (CIF):
```
data_InCu15
_chemical_formula_sum 'In2 Cu30'
_cell_length_a 5.150
_cell_length_b 2.612
_cell_length_c 41.435
_cell_angle_alpha 90.00
_cell_angle_beta 90.03
_cell_angle_gamma 90.00
_space_group_name_H-M_alt 'P 1 21/m 1'
_space_group_IT_number 11
loop_
_space_group_symop_operation_xyz
'x,y,z'
'-x,-y,-z'
'-x,y+1/2,-z'
'x,-y+1/2,z'
loop_
_atom_site_label
_atom_site_fract_x
_atom_site_fract_y
_atom_site_fract_z
_atom_site_occupancy
In1 0.125 0.250 0.165 1
Cu1 0.123 0.250 0.692 1
Cu2 0.125 0.250 0.265 1
Cu3 0.125 0.250 0.350 1
Cu4 0.125 0.250 0.436 1
Cu5 0.125 0.250 0.521 1
Cu6 0.125 0.250 0.607 1
Cu7 0.125 0.250 0.777 1
Cu8 0.373 0.750 0.308 1
Cu9 0.375 0.750 0.223 1
Cu10 0.375 0.750 0.393 1
Cu11 0.375 0.750 0.479 1
Cu12 0.375 0.750 0.564 1
Cu13 0.375 0.750 0.650 1
Cu14 0.375 0.750 0.734 1
Cu15 0.375 0.750 0.820 1
```

Calculated values
- relative energy among the computed polymorphs (meV/atom) = 19.7

# 7
Dy2NiPt after structural relaxation. Source: OQMD, functional PBE-GGA.

Structure (CIF):
```
data_Dy2NiPt
_chemical_formula_sum 'Dy4 Ni2 Pt2'
_cell_length_a 4.309
_cell_length_b 5.522
_cell_length_c 7.121
_cell_angle_alpha 90.00
_cell_angle_beta 90.00
_cell_angle_gamma 90.00
_space_group_name_H-M_alt 'P m c 21'
_space_group_IT_number 26
loop_
_space_group_symop_operation_xyz
'x,y,z'
'-x,-y,z+1/2'
'-x,y,z'
'x,-y,z+1/2'
loop_
_atom_site_label
_atom_site_fract_x
_atom_site_fract_y
_atom_site_fract_z
_atom_site_occupancy
Dy1 0.000 0.115 0.000 1
Dy2 0.500 0.382 0.640 1
Ni1 0.500 0.106 0.277 1
Pt1 0.000 0.384 0.359 1
```

Calculated values
- VASP energy (eV for the cell shown) = -48.70

# 8
TlFeSn2 after structural relaxation. Source: OQMD, functional PBE-GGA.

Structure (CIF):
```
data_TlFeSn2
_chemical_formula_sum 'Tl4 Fe4 Sn8'
_cell_length_a 7.106
_cell_length_b 7.106
_cell_length_c 7.106
_cell_angle_alpha 90.00
_cell_angle_beta 90.00
_cell_angle_gamma 90.00
_space_group_name_H-M_alt 'F -4 3 m'
_space_group_IT_number 216
_space_group_name_Hall 'F -4 2 3'
loop_
_atom_site_label
_atom_site_fract_x
_atom_site_fract_y
_atom_site_fract_z
_atom_site_occupancy
Tl1 0.000 0.000 0.000 1
Fe1 0.250 0.250 0.250 1
Sn1 0.000 0.000 0.500 1
Sn2 0.250 0.250 0.750 1
```

Calculated values
- VASP energy (eV for the cell shown) = -65.83

# 9
LaLuZnTe3 after structural relaxation. Source: OQMD, functional PBE-GGA.

Structure (CIF):
```
data_LaLuZnTe3
_chemical_formula_sum 'La4 Lu4 Zn4 Te12'
_cell_length_a 4.245
_cell_length_b 14.970
_cell_length_c 10.725
_cell_angle_alpha 90.00
_cell_angle_beta 90.00
_cell_angle_gamma 90.00
_space_group_name_H-M_alt 'C m c m'
_space_group_IT_number 63
_space_group_name_Hall '-C 2c 2'
loop_
_atom_site_label
_atom_site_fract_x
_atom_site_fract_y
_atom_site_fract_z
_atom_site_occupancy
La1 0.000 0.224 0.250 1
Lu1 0.000 0.000 0.000 1
Zn1 0.000 0.472 0.750 1
Te1 0.000 0.106 0.750 1
Te2 0.000 0.353 0.539 1
```

Calculated values
- VASP energy (eV for the cell shown) = -104.22

# 10
LuBNO after structural relaxation. Source: OQMD, functional PBE-GGA.

Structure (CIF):
```
data_LuBNO
_chemical_formula_sum 'Lu2 B2 N2 O2'
_cell_length_a 3.448
_cell_length_b 5.175
_cell_length_c 4.690
_cell_angle_alpha 90.00
_cell_angle_beta 90.00
_cell_angle_gamma 90.00
_space_group_name_H-M_alt 'P m c 21'
_space_group_IT_number 26
loop_
_space_group_symop_operation_xyz
'x,y,z'
'-x,-y,z+1/2'
'-x,y,z'
'x,-y,z+1/2'
loop_
_atom_site_label
_atom_site_fract_x
_atom_site_fract_y
_atom_site_fract_z
_atom_site_occupancy
Lu1 0.000 0.231 0.000 1
B1 0.500 0.346 0.463 1
N1 0.500 0.439 0.758 1
O1 0.000 0.183 0.461 1
```

Calculated values
- relative energy among the computed polymorphs (meV/atom) = 60.9

# 11
Ho2AlTlZn2 after structural relaxation. Source: OQMD, functional PBE-GGA.

Structure (CIF):
```
data_Ho2AlTlZn2
_chemical_formula_sum 'Ho2 Al1 Tl1 Zn2'
_cell_length_a 4.5663
_cell_length_b 4.5663
_cell_length_c 7.2283
_cell_angle_alpha 90.00
_cell_angle_beta 90.00
_cell_angle_gamma 120.00
_space_group_name_H-M_alt 'P 3 m 1'
_space_group_IT_number 156
loop_
_space_group_symop_operation_xyz
'x,y,z'
'-y,x-y,z'
'-x+y,-x,z'
'-y,-x,z'
'-x+y,y,z'
'x,x-y,z'
loop_
_atom_site_label
_atom_site_fract_x
_atom_site_fract_y
_atom_site_fract_z
_atom_site_occupancy
Ho1 0.0000 0.0000 0.0000 1
Ho2 0.0000 0.0000 0.4883 1
Al1 0.6667 0.3333 0.2174 1
Tl1 0.3333 0.6667 0.7139 1
Zn1 0.3333 0.6667 0.2765 1
Zn2 0.6667 0.3333 0.8126 1
```

Calculated values
- VASP energy (eV for the cell shown) = -20.15

# 12
Li2Mg2Ga2PdPt after structural relaxation. Source: OQMD, functional PBE-GGA.

Structure (CIF):
```
data_Li2Mg2Ga2PdPt
_chemical_formula_sum 'Li2 Mg2 Ga2 Pd1 Pt1'
_cell_length_a 4.416
_cell_length_b 4.416
_cell_length_c 6.239
_cell_angle_alpha 90.00
_cell_angle_beta 90.00
_cell_angle_gamma 90.00
_space_group_name_H-M_alt 'P -4 m 2'
_space_group_IT_number 115
loop_
_space_group_symop_operation_xyz
'x,y,z'
'y,-x,-z'
'-x,-y,z'
'-y,x,-z'
'-x,y,z'
'-y,-x,-z'
'x,-y,z'
'y,x,-z'
loop_
_atom_site_label
_atom_site_fract_x
_atom_site_fract_y
_atom_site_fract_z
_atom_site_occupancy
Li1 0.000 0.000 0.000 1
Li2 0.500 0.500 0.500 1
Mg1 0.000 0.500 0.250 1
Ga1 0.000 0.500 0.750 1
Pd1 0.000 0.000 0.500 1
Pt1 0.500 0.500 0.000 1
```

Calculated values
- VASP energy (eV for the cell shown) = -29.21

Record order is preserved below.
Mass density: 9.547, 11.480, 8.347, 6.999, 6.535, 6.363, 11.345, 9.214, 7.427, 8.563, 8.804, 6.869 g/cm3